[1]
Entry from the Alexandria database: an optimized crystal structure of Rb3YNp2O9 (PBE).

POSCAR file:
```
Rb3YNp2O9
1.0
6.133 0.000 0.000
-3.066 5.311 0.000
0.000 0.000 7.512
Rb Y Np O
3 1 2 9
Cartesian
0.000 0.000 0.000 Rb
0.000 3.541 4.982 Rb
3.066 1.770 2.530 Rb
0.000 0.000 3.756 Y
0.000 3.541 1.248 Np
3.066 1.770 6.263 Np
-1.533 2.655 0.000 O
0.000 1.871 2.411 O
-1.446 4.375 2.411 O
1.620 0.935 5.101 O
3.066 0.000 0.000 O
1.533 2.655 0.000 O
1.446 4.375 2.411 O
4.512 0.935 5.101 O
3.066 3.440 5.101 O
```

M_tot: 2.000 Bohr magnetons per cell
crystal system: trigonal
E_form (uncorrected): -2.685 eV per atom
theoretical density: 6.54 g cm⁻³

=====

[2]
Entry from the Alexandria database: an optimized crystal structure of SiHg3Mo (PBE).

POSCAR file:
```
SiHg3Mo
1.0
5.254 0.000 0.000
0.000 5.254 0.000
0.000 0.000 5.254
Si Hg Mo
1 3 1
Cartesian
0.000 0.000 0.000 Si
0.000 2.627 2.627 Hg
2.627 0.000 2.627 Hg
2.627 2.627 0.000 Hg
2.627 2.627 2.627 Mo
```

M_tot: 0.000 Bohr magnetons per cell
crystal system: cubic
E_form (uncorrected): 1.292 eV per atom
theoretical density: 8.31 g cm⁻³
energy above the most stable polymorph in this dataset: 174.0 meV per atom

=====

[3]
Entry from the Alexandria database: an optimized crystal structure of CrMo2As (PBE).

POSCAR file:
```
CrMo2As
1.0
0.000 3.066 3.066
3.066 0.000 3.066
3.066 3.066 0.000
Cr Mo As
1 2 1
Cartesian
0.000 0.000 0.000 Cr
1.533 1.533 1.533 Mo
3.066 3.066 3.066 Mo
4.599 4.599 4.599 As
```

M_tot: 0.003 Bohr magnetons per cell
crystal system: cubic
formation energy from the elements: 0.92 eV per formula unit
theoretical density: 9.18 g cm⁻³

=====

[4]
Entry from the Alexandria database: an optimized crystal structure of CsYPdCl6 (PBE).

POSCAR file:
```
CsYPdCl6
1.0
6.543 0.000 0.000
-2.483 6.059 0.000
-0.675 -0.993 7.976
Cs Y Pd Cl
1 1 1 6
Cartesian
0.000 0.000 0.000 Cs
2.867 1.738 3.988 Y
-0.374 3.912 3.988 Pd
0.527 2.239 2.645 Cl
1.401 -0.263 5.188 Cl
1.515 3.713 5.332 Cl
3.460 0.314 1.949 Cl
4.409 1.729 6.027 Cl
4.159 3.853 2.786 Cl
```

M_tot: 0.027 Bohr magnetons per cell
crystal system: triclinic
E_form (uncorrected): -1.611 eV per atom
theoretical density: 2.84 g cm⁻³